[1]
This record from the Alexandria database describes a geometry-optimized CuPdSN2 structure. The functional is GGA-PBE.

Lattice parameters (Å, degrees): 3.646 3.646 5.336 90.00 90.00 90.00
Atoms (fractional coordinates):
Cu1 0.000 0.000 0.000
Pd1 0.500 0.500 0.500
S1 0.000 0.000 0.500
N1 0.000 0.500 0.000
N2 0.500 0.000 0.000

Calculated values
The excess energy over the best structure of this formula in the dataset comes out at 0 meV/atom. The magnetization comes out at 3.122 μB/f.u. For the uncorrected formation energy, the calculation gives 1.5080 eV/atom. As for the density of states at the Fermi level: 3.9 states/eV per cell. For the total energy, the calculation gives -22.5 eV per formula unit.

[2]
This record from the Alexandria database describes a geometry-optimized CuPdSe2N structure. The functional is GGA-PBE.

Lattice parameters (Å, degrees): 4.958 4.958 3.493 90.00 90.00 90.00
Atoms (fractional coordinates):
Cu1 0.000 0.000 0.000
Pd1 0.500 0.500 0.500
Se1 0.000 0.500 0.000
Se2 0.500 0.000 0.000
N1 0.000 0.000 0.500

Calculated values
The excess energy over the best structure of this formula in the dataset comes out at 0 meV/atom. The magnetization comes out at 1.533 μB/f.u. For the uncorrected formation energy, the calculation gives 0.8732 eV/atom. As for the density of states at the Fermi level: 5.1 states/eV per cell. For the total energy, the calculation gives -20.2 eV per formula unit.

[3]
This record from the Alexandria database describes a geometry-optimized CuPdSe2N structure. The functional is GGA-PBE.

Lattice parameters (Å, degrees): 5.159 5.159 3.658 90.00 90.00 90.00
Atoms (fractional coordinates):
Cu1 0.000 0.000 0.000
Pd1 0.500 0.500 0.500
Se1 0.000 0.500 0.500
Se2 0.500 0.000 0.500
N1 0.500 0.500 0.000

Calculated values
The excess energy over the best structure of this formula in the dataset comes out at 64 meV/atom. The magnetization comes out at 0.669 μB/f.u. For the uncorrected formation energy, the calculation gives 0.9371 eV/atom. As for the density of states at the Fermi level: 5.1 states/eV per cell. For the total energy, the calculation gives -19.9 eV per formula unit.

[4]
This record from the Alexandria database describes a geometry-optimized CuPdSeN2 structure. The functional is GGA-PBE.

Lattice parameters (Å, degrees): 3.699 3.699 5.618 90.00 90.00 90.00
Atoms (fractional coordinates):
Cu1 0.000 0.000 0.000
Pd1 0.500 0.500 0.500
Se1 0.000 0.000 0.500
N1 0.000 0.500 0.000
N2 0.500 0.000 0.000

Calculated values
The excess energy over the best structure of this formula in the dataset comes out at 0 meV/atom. The magnetization comes out at 3.245 μB/f.u. For the uncorrected formation energy, the calculation gives 1.4460 eV/atom. As for the density of states at the Fermi level: 4.4 states/eV per cell. For the total energy, the calculation gives -22.2 eV per formula unit.

[5]
This record from the Alexandria database describes a geometry-optimized CuPdSeN2 structure. The functional is GGA-PBE.

Lattice parameters (Å, degrees): 3.772 3.772 5.897 90.00 90.00 90.00
Atoms (fractional coordinates):
Cu1 0.000 0.000 0.000
Pd1 0.500 0.500 0.500
Se1 0.500 0.500 0.000
N1 0.000 0.500 0.500
N2 0.500 0.000 0.500

Calculated values
The excess energy over the best structure of this formula in the dataset comes out at 35 meV/atom. The magnetization comes out at 0.001 μB/f.u. For the uncorrected formation energy, the calculation gives 1.4810 eV/atom. As for the density of states at the Fermi level: 5.4 states/eV per cell. For the total energy, the calculation gives -22.0 eV per formula unit.

[6]
This record from the Alexandria database describes a geometry-optimized CuSnPdN2 structure. The functional is GGA-PBE.

Lattice parameters (Å, degrees): 3.730 3.730 5.658 90.00 90.00 90.00
Atoms (fractional coordinates):
Cu1 0.000 0.000 0.000
Sn1 0.000 0.000 0.500
Pd1 0.500 0.500 0.500
N1 0.000 0.500 0.000
N2 0.500 0.000 0.000

Calculated values
The magnetization comes out at 0.001 μB/f.u. For the uncorrected formation energy, the calculation gives 1.3970 eV/atom. As for the density of states at the Fermi level: 3.8 states/eV per cell. For the total energy, the calculation gives -23.0 eV per formula unit.

[7]
This record from the Alexandria database describes a geometry-optimized Sr2CuPdN structure. The functional is GGA-PBE.

Lattice parameters (Å, degrees): 5.301 5.301 3.978 90.00 90.00 90.00
Atoms (fractional coordinates):
Sr1 0.000 0.500 0.000
Sr2 0.500 0.000 0.000
Cu1 0.000 0.000 0.500
Pd1 0.500 0.500 0.500
N1 0.500 0.500 0.000

Calculated values
The excess energy over the best structure of this formula in the dataset comes out at 149 meV/atom. The magnetization comes out at 0.000 μB/f.u. For the uncorrected formation energy, the calculation gives -0.2907 eV/atom. As for the density of states at the Fermi level: 3.4 states/eV per cell. For the total energy, the calculation gives -22.4 eV per formula unit.

[8]
This record from the Alexandria database describes a geometry-optimized Sr2CuPdN structure. The functional is GGA-PBE.

Lattice parameters (Å, degrees): 5.333 5.333 3.733 90.00 90.00 90.00
Atoms (fractional coordinates):
Sr1 0.000 0.500 0.000
Sr2 0.500 0.000 0.000
Cu1 0.000 0.000 0.500
Pd1 0.500 0.500 0.500
N1 0.000 0.000 0.000

Calculated values
The excess energy over the best structure of this formula in the dataset comes out at 0 meV/atom. The magnetization comes out at 0.000 μB/f.u. For the uncorrected formation energy, the calculation gives -0.4395 eV/atom. As for the density of states at the Fermi level: 1.9 states/eV per cell. For the total energy, the calculation gives -23.2 eV per formula unit.

[9]
This record from the Alexandria database describes a geometry-optimized Pm6Cu2N structure. The functional is GGA-PBE.

Lattice parameters (Å, degrees): 6.567 7.124 11.809 90.00 122.65 90.00
Atoms (fractional coordinates):
Pm1 0.113 0.030 0.241
Pm2 0.113 0.470 0.741
Pm3 0.232 0.701 0.059
Pm4 0.232 0.799 0.559
Pm5 0.366 0.186 0.058
Pm6 0.366 0.314 0.558
Pm7 0.634 0.686 0.442
Pm8 0.634 0.814 0.942
Pm9 0.768 0.201 0.441
Pm10 0.768 0.299 0.941
Pm11 0.887 0.530 0.259
Pm12 0.887 0.970 0.759
Cu1 0.306 0.091 0.753
Cu2 0.306 0.409 0.253
Cu3 0.694 0.591 0.747
Cu4 0.694 0.909 0.247
N1 0.000 0.000 0.000
N2 0.000 0.500 0.500

Calculated values
The magnetization comes out at 0.000 μB/f.u. For the uncorrected formation energy, the calculation gives -0.3804 eV/atom. As for the density of states at the Fermi level: 16.3 states/eV per cell. For the total energy, the calculation gives -48.4 eV per formula unit.

[10]
This record from the Alexandria database describes a geometry-optimized Pm2CuN structure. The functional is GGA-PBE.

Lattice parameters (Å, degrees): 3.250 3.250 6.914 90.00 90.00 90.00
Atoms (fractional coordinates):
Pm1 0.000 0.000 0.212
Pm2 0.000 0.000 0.788
Cu1 0.500 0.500 0.500
N1 0.500 0.500 0.000

Calculated values
The excess energy over the best structure of this formula in the dataset comes out at 371 meV/atom. The magnetization comes out at 0.000 μB/f.u. For the uncorrected formation energy, the calculation gives -0.2640 eV/atom. As for the density of states at the Fermi level: 3.5 states/eV per cell. For the total energy, the calculation gives -23.0 eV per formula unit.

[11]
This record from the Alexandria database describes a geometry-optimized Pm2CuN structure. The functional is GGA-PBE.

Lattice parameters (Å, degrees): 7.327 7.327 7.327 29.03 29.03 29.03
Atoms (fractional coordinates):
Pm1 0.232 0.232 0.232
Pm2 0.768 0.768 0.768
Cu1 0.000 0.000 0.000
N1 0.500 0.500 0.500

Calculated values
The excess energy over the best structure of this formula in the dataset comes out at 0 meV/atom. The magnetization comes out at 0.002 μB/f.u. For the uncorrected formation energy, the calculation gives -0.6347 eV/atom. As for the density of states at the Fermi level: 4.3 states/eV per cell. For the total energy, the calculation gives -24.5 eV per formula unit.

[12]
This record from the Alexandria database describes a geometry-optimized PmCuSiN structure. The functional is GGA-PBE.

Lattice parameters (Å, degrees): 3.795 3.795 8.372 90.00 90.00 90.00
Atoms (fractional coordinates):
Pm1 0.250 0.250 0.158
Pm2 0.750 0.750 0.842
Cu1 0.250 0.750 0.500
Cu2 0.750 0.250 0.500
Si1 0.250 0.250 0.664
Si2 0.750 0.750 0.336
N1 0.250 0.250 0.874
N2 0.750 0.750 0.126

Calculated values
The magnetization comes out at 0.000 μB/f.u. For the uncorrected formation energy, the calculation gives -0.8820 eV/atom. As for the density of states at the Fermi level: 1.6 states/eV per cell. For the total energy, the calculation gives -26.1 eV per formula unit.